Model A:
CsGe3Br: relaxed, PBEsol.

Output
V = 36.76 A^3/atom

a = 5.6859 Å, b = 5.6859 Å, c = 5.6859 Å
α = 90.00°, β = 90.00°, γ = 90.00°
Space group Pm-3m (No. 221)
Symmetry-distinct sites (fractional):
Cs: 0.0000 0.0000 0.0000 [1 per cell]
Ge: 0.0000 0.0000 0.5000 [3 per cell]
Br: 0.5000 0.5000 0.5000 [1 per cell]


Model B:
CsGe3Br: relaxed, PBEsol.

Output
V = 30.45 A^3/atom

a = 5.3395 Å, b = 5.3395 Å, c = 5.3395 Å
α = 90.00°, β = 90.00°, γ = 90.00°
Space group Pm-3m (No. 221)
Symmetry-distinct sites (fractional):
Cs: 0.0000 0.0000 0.0000 [1 per cell]
Ge: 0.0000 0.5000 0.5000 [3 per cell]
Br: 0.5000 0.5000 0.5000 [1 per cell]


Stability order, top to bottom: model B, model A


Model A:
CsInBr2: relaxed, PBEsol.

Output
V = 54.31 A^3/atom

a = 7.3206 Å, b = 7.3206 Å, c = 16.2144 Å
α = 90.00°, β = 90.00°, γ = 90.00°
Space group I-42d (No. 122)
Symmetry-distinct sites (fractional):
Cs: 0.0000 0.0000 0.0000 [4 per cell]
In: 0.0000 0.0000 0.5000 [4 per cell]
Br: 0.2055 0.2500 0.6250 [8 per cell]


Model B:
CsInBr2: relaxed, PBEsol.

Output
V = 33.52 A^3/atom

a = 8.1243 Å, b = 8.1243 Å, c = 8.1243 Å
α = 90.00°, β = 90.00°, γ = 90.00°
Space group Fm-3m (No. 225)
Symmetry-distinct sites (fractional):
Cs: 0.0000 0.0000 0.0000 [4 per cell]
In: 0.0000 0.0000 0.5000 [4 per cell]
Br: 0.2500 0.2500 0.2500 [8 per cell]


Stability order, top to bottom: model B, model A


Model A:
CsIrBr2: relaxed, PBEsol.

Output
V = 35.95 A^3/atom

a = 6.3506 Å, b = 6.3506 Å, c = 14.2635 Å
α = 90.00°, β = 90.00°, γ = 90.00°
Space group I-42d (No. 122)
Symmetry-distinct sites (fractional):
Cs: 0.0000 0.0000 0.0000 [4 per cell]
Ir: 0.0000 0.0000 0.5000 [4 per cell]
Br: 0.1001 0.2500 0.6250 [8 per cell]


Model B:
CsIrBr2: relaxed, PBEsol.

Output
V = 33.45 A^3/atom

a = 4.2072 Å, b = 4.2072 Å, c = 26.1815 Å
α = 90.00°, β = 90.00°, γ = 120.00°
Space group R-3m (No. 166, hexagonal axes)
Symmetry-distinct sites (fractional):
Cs: 0.0000 0.0000 0.0000 [3 per cell]
Ir: 0.0000 0.0000 0.5000 [3 per cell]
Br: 0.0000 0.0000 0.1275 [6 per cell]


Stability order, top to bottom: model A, model B


Model A:
Cs2BrN2: relaxed, PBEsol.

Output
V = 28.64 A^3/atom

a = 8.4617 Å, b = 8.4617 Å, c = 4.0004 Å
α = 90.00°, β = 90.00°, γ = 90.00°
Space group P4/mbm (No. 127)
Symmetry-distinct sites (fractional):
Cs: 0.2244 0.2756 0.0000 [4 per cell]
Br: 0.0000 0.0000 0.5000 [2 per cell]
N: 0.0493 0.5493 0.5000 [4 per cell]


Model B:
Cs2BrN2: relaxed, PBEsol.

Output
V = 29.40 A^3/atom

a = 5.7619 Å, b = 5.7619 Å, c = 8.8546 Å
α = 90.00°, β = 90.00°, γ = 90.00°
Space group I4/mmm (No. 139)
Symmetry-distinct sites (fractional):
Cs: 0.0000 0.5000 0.2500 [4 per cell]
Br: 0.0000 0.0000 0.0000 [2 per cell]
N: 0.0000 0.0000 0.4332 [4 per cell]


Stability order, top to bottom: model A, model B